# Na2ZrBiBr (PBEsol, relaxed)
# energy relative to the elements, uncorrected = 2.3 eV per formula unit
# size of the total moment = 2.02 μB/f.u.
data_Na2ZrBiBr
_chemical_formula_sum 'Na2 Zr1 Bi1 Br1'
_space_group_name_H-M_alt 'P 4/m m m'
_space_group_IT_number 123
_space_group_name_Hall '-P 4 2'
_cell_length_a 6.5452
_cell_length_b 6.5452
_cell_length_c 5.4247
_cell_angle_alpha 90.00
_cell_angle_beta 90.00
_cell_angle_gamma 90.00
loop_
_atom_site_label
_atom_site_type_symbol
_atom_site_fract_x
_atom_site_fract_y
_atom_site_fract_z
Na1 Na 0.0000 0.5000 0.0000
Zr1 Zr 0.0000 0.0000 0.0000
Bi1 Bi 0.0000 0.0000 0.5000
Br1 Br 0.5000 0.5000 0.5000